(1)
{"formula": "ScCo2Os", "functional": "GGA-PBE", "state": "relaxed", "magnetic_moment_mub_per_fu": 2.09, "formation_energy_ev_per_atom": 0.4718, "lattice_angstrom": [[-2.0174, -1.9534, 2.6142], [-1.3028, -2.3358, -2.7508], [4.9726, -7.3187, 1.1839]], "species": ["Sc", "Sc", "Co", "Co", "Co", "Co", "Os", "Os"], "fractional_positions": [[0.5000, 0.5000, 0.0000], [0.2500, 0.7500, 0.5000], [0.6881, 0.1250, 0.2500], [0.0619, 0.6250, 0.2500], [0.3750, 0.3119, 0.7500], [0.8750, 0.9381, 0.7500], [0.0000, 0.0000, 0.0000], [0.7500, 0.2500, 0.5000]]}


(2)
{"formula": "ScCo2Os", "functional": "GGA-PBE", "state": "relaxed", "magnetic_moment_mub_per_fu": 3.54, "formation_energy_ev_per_atom": 0.0608, "lattice_angstrom": [[5.0442, 0.0032, 0.0010], [2.2768, 4.5012, -0.0010], [-3.2087, -2.9865, 2.4959]], "species": ["Co", "Co", "Os", "Sc"], "fractional_positions": [[0.9883, 0.9883, 0.0000], [0.5117, 0.5117, 0.0000], [0.7500, 0.2500, 0.5000], [0.2500, 0.7500, 0.5000]]}


(3)
{"formula": "ScCo2Os", "functional": "GGA-PBE", "state": "relaxed", "magnetic_moment_mub_per_fu": 0.00, "formation_energy_ev_per_atom": 0.0880, "lattice_angstrom": [[4.6900, 0.0001, 0.0000], [1.7098, 4.3672, 0.0000], [-3.1999, -2.1836, 2.6435]], "species": ["Co", "Co", "Os", "Sc"], "fractional_positions": [[0.0000, 0.0000, 0.0000], [0.2500, 0.7500, 0.5000], [0.5000, 0.5000, 0.0000], [0.7500, 0.2500, 0.5000]]}


(4)
{"formula": "ScCo2Os", "functional": "GGA-PBE", "state": "relaxed", "magnetic_moment_mub_per_fu": 1.94, "formation_energy_ev_per_atom": 0.0815, "lattice_angstrom": [[4.6123, 0.0022, 0.0054], [3.7469, 2.6896, 0.0054], [0.9326, 0.3003, 4.5654]], "species": ["Co", "Co", "Os", "Sc"], "fractional_positions": [[0.0106, 0.0106, 0.9561], [0.4894, 0.4894, 0.5439], [0.7500, 0.7500, 0.7500], [0.2500, 0.2500, 0.2500]]}


(5)
{"formula": "ScCo2Os2", "functional": "GGA-PBE", "state": "relaxed", "magnetic_moment_mub_per_fu": 0.00, "formation_energy_ev_per_atom": 0.0358, "lattice_angstrom": [[-5.0847, -4.8603, -1.9198], [-1.6451, -1.0537, 7.0246], [-1.7850, 1.9188, -0.1302]], "species": ["Sc", "Sc", "Co", "Co", "Co", "Co", "Os", "Os", "Os", "Os"], "fractional_positions": [[0.0000, 0.0000, 0.0000], [0.5000, 0.5000, 0.0000], [0.3829, 0.8829, 0.0000], [0.8829, 0.6171, 0.0000], [0.6171, 0.1171, 0.0000], [0.1171, 0.3829, 0.0000], [0.1786, 0.6786, 0.5000], [0.6786, 0.8214, 0.5000], [0.8214, 0.3214, 0.5000], [0.3214, 0.1786, 0.5000]]}


(6)
{"formula": "Sc4CoOs", "functional": "GGA-PBE", "state": "relaxed", "magnetic_moment_mub_per_fu": 0.00, "formation_energy_ev_per_atom": -0.1861, "lattice_angstrom": [[4.4441, 0.0001, 0.0002], [-0.0001, 4.4456, 0.0008], [0.0054, 0.0088, 6.2725]], "species": ["Sc", "Sc", "Sc", "Sc", "Co", "Os"], "fractional_positions": [[0.5011, 0.9968, 0.2510], [0.5015, 0.9978, 0.7452], [0.0015, 0.4977, 0.7452], [0.0011, 0.4969, 0.2510], [0.0013, 0.9973, 0.4982], [0.5013, 0.4973, 0.9981]]}